LaHfH: optimized geometry, PBE. Values from VASP.

```
&SYSTEM
  ibrav = 0, nat = 12, ntyp = 3
/
ATOMIC_SPECIES
H 1.01 H.upf
La 138.91 La.upf
Hf 178.49 Hf.upf
ATOMIC_POSITIONS crystal
H 0.750 0.625 0.143
H 0.250 0.875 0.643
H 0.750 0.125 0.357
H 0.250 0.375 0.857
La 0.250 0.605 0.140
La 0.750 0.895 0.640
La 0.250 0.105 0.360
La 0.750 0.395 0.860
Hf 0.250 0.034 0.888
Hf 0.750 0.466 0.388
Hf 0.750 0.966 0.112
Hf 0.250 0.534 0.612
CELL_PARAMETERS angstrom
5.231 0.000 0.000
0.000 6.090 0.000
0.000 0.000 7.532
```

final energy	-6.185	eV/atom

Pr3Dy8Y3: optimized geometry, PBE. Values from VASP.

```
&SYSTEM
  ibrav = 0, nat = 14, ntyp = 3
/
ATOMIC_SPECIES
Dy 162.50 Dy.upf
Pr 140.91 Pr.upf
Y 88.91 Y.upf
ATOMIC_POSITIONS crystal
Dy 0.842 0.760 0.556
Dy 0.660 0.118 0.561
Dy 0.842 0.556 0.760
Dy 0.660 0.561 0.118
Dy 0.340 0.439 0.882
Dy 0.158 0.240 0.444
Dy 0.158 0.444 0.240
Dy 0.340 0.882 0.439
Pr 0.000 0.184 0.816
Pr 0.000 0.816 0.184
Pr 0.500 0.000 0.000
Y 0.798 0.202 0.202
Y 0.500 0.500 0.500
Y 0.202 0.798 0.798
CELL_PARAMETERS angstrom
5.573 0.000 1.120
2.737 9.294 0.806
1.063 -3.155 9.134
```

final energy	-4.932	eV/atom

Y2ScHg: optimized geometry, PBE. Values from VASP.

```
&SYSTEM
  ibrav = 0, nat = 4, ntyp = 3
/
ATOMIC_SPECIES
Hg 200.59 Hg.upf
Y 88.91 Y.upf
Sc 44.96 Sc.upf
ATOMIC_POSITIONS crystal
Hg 0.489 0.489 0.000
Y 0.724 0.224 0.500
Y 0.003 0.003 0.000
Sc 0.284 0.784 0.500
CELL_PARAMETERS angstrom
-3.979 4.612 2.161
-6.400 -0.604 -0.665
5.441 -2.528 2.403
```

final energy	-5.136	eV/atom

Ho4SiHS2: optimized geometry, PBE. Values from VASP.

```
&SYSTEM
  ibrav = 0, nat = 8, ntyp = 4
/
ATOMIC_SPECIES
S 32.06 S.upf
Ho 164.93 Ho.upf
H 1.01 H.upf
Si 28.09 Si.upf
ATOMIC_POSITIONS crystal
S 0.691 0.191 0.500
S 0.191 0.691 0.500
Ho 0.435 0.966 0.000
Ho 0.694 0.694 0.507
Ho 0.187 0.187 0.493
Ho 0.966 0.435 0.000
H 0.399 0.399 0.000
Si 0.935 0.935 0.000
CELL_PARAMETERS angstrom
5.496 0.318 0.000
-0.281 5.498 0.000
-2.607 -2.908 5.539
```

final energy	-5.655	eV/atom